(1)
Material: KCaRe2
Method: DFT, PBE-GGA
State: optimized geometry

Output
**Energy relative to the elements**: 0.99 eV per atom
**VASP energy**: -6.0097 eV per atom
**Energy above the lowest structure with this stoichiometry**: 1.586 eV per formula unit
**Volume**: 177.5 Å³/cell

abc: 3.287 4.809 11.229
angles: 90.00 90.00 90.00
Space group Cmm2 (No. 35)
Asymmetric unit:
K1 0.000 0.000 0.000
Ca1 0.000 0.500 0.341
Re1 0.000 0.000 0.564
Re2 0.000 0.500 0.738

---

(2)
Material: K2CaRe
Method: DFT, PBE-GGA
State: optimized geometry

Output
**Energy relative to the elements**: 1.30 eV per atom
**VASP energy**: -2.8597 eV per atom
**Energy above the lowest structure with this stoichiometry**: 1.131 eV per formula unit
**Volume**: 229.6 Å³/cell

abc: 6.522 12.991 3.010
angles: 90.00 115.84 90.00
Space group C2/m (No. 12)
Asymmetric unit:
K1 0.250 0.250 0.000
Ca1 0.000 0.000 0.500
Re1 0.000 0.500 0.500

---

(3)
Material: K2CaRe
Method: DFT, PBE-GGA
State: optimized geometry

Output
**Energy relative to the elements**: 1.05 eV per atom
**VASP energy**: -3.1096 eV per atom
**Energy above the lowest structure with this stoichiometry**: 0.131 eV per formula unit
**Volume**: 142.5 Å³/cell

abc: 2.980 4.786 9.993
angles: 90.00 90.00 90.00
Space group Pmm2 (No. 25)
Asymmetric unit:
K1 0.000 0.000 0.000
K2 0.500 0.500 0.388
Ca1 0.500 0.500 0.730
Re1 0.000 0.000 0.629

---

Question: Which of these has the highest energy above the lowest structure with this stoichiometry?
Answer: KCaRe2